No. 1
4
Lattice="4.819 0.000 0.000 2.409 4.173 0.000 2.409 1.391 3.934" Properties=species:S:1:pos:R:3 comment="ZnReSb2, optimized geometry, DFT GGA-PBE" space_group="F-43m (216)" pbc="T T T"
Re 4.819 2.782 1.967
Sb 0.000 0.000 0.000
Sb 7.228 4.173 2.951
Zn 2.409 1.391 0.984

=====

No. 2
4
Lattice="3.793 0.000 0.000 0.000 4.180 0.000 0.000 0.000 4.180" Properties=species:S:1:pos:R:3 comment="Zn2ReSb, optimized geometry, DFT GGA-PBE" space_group="P4/mmm (123)" pbc="T T T"
Re 1.897 2.090 0.000
Sb 1.897 0.000 2.090
Zn 0.000 0.000 0.000
Zn 0.000 2.090 2.090

=====

No. 3
4
Lattice="-3.024 -3.470 -2.861 0.705 -5.207 1.326 -0.980 4.557 2.764" Properties=species:S:1:pos:R:3 comment="ZnReSb2, optimized geometry, DFT GGA-PBE" space_group="I-4m2 (119)" pbc="T T T"
Re -2.582 -1.626 -0.432
Sb 0.000 0.000 0.000
Sb -0.717 -2.494 1.661
Zn -1.159 -4.339 -0.767

=====

No. 4
4
Lattice="-0.931 0.160 -3.277 -0.137 -4.752 -0.193 -4.575 0.079 1.304" Properties=species:S:1:pos:R:3 comment="ZnReSb2, optimized geometry, DFT GGA-PBE" space_group="P4/mmm (123)" pbc="T T T"
Re -2.753 0.119 -0.987
Sb 0.000 0.000 0.000
Sb -2.356 -2.337 0.555
Zn -0.534 -2.296 -1.735

=====

No. 5
4
Lattice="-3.785 3.445 6.663 -6.449 2.050 4.980 -4.526 0.105 7.078" Properties=species:S:1:pos:R:3 comment="ZnReSb2, optimized geometry, DFT GGA-PBE" space_group="R-3m (166)" pbc="T T T"
Re -11.070 4.200 14.040
Sb -0.095 0.036 0.120
Sb -7.285 2.764 9.240
Zn -3.690 1.400 4.680

=====

No. 6
4
Lattice="-1.025 0.980 4.439 1.471 -0.741 4.359 2.846 4.099 0.652" Properties=species:S:1:pos:R:3 comment="ZnRe2Sb, optimized geometry, DFT GGA-PBE" space_group="C2/m (12)" pbc="T T T"
Re 0.537 0.371 8.777
Re 1.556 2.038 4.745
Sb 2.470 3.254 7.087
Zn 0.823 1.085 2.362

=====

No. 7
5
Lattice="5.094 0.000 0.000 0.000 5.094 0.000 0.000 0.000 5.094" Properties=species:S:1:pos:R:3 comment="ZnReSb3, optimized geometry, DFT GGA-PBE" space_group="Pm-3m (221)" pbc="T T T"
Re 2.547 2.547 2.547
Zn 0.000 0.000 0.000
Sb 0.000 2.547 0.000
Sb 0.000 0.000 2.547
Sb 2.547 0.000 0.000

=====

No. 8
4
Lattice="4.909 0.011 0.000 1.593 4.644 0.000 -3.251 -2.327 2.849" Properties=species:S:1:pos:R:3 comment="ZnRe2Sb, optimized geometry, DFT GGA-PBE" space_group="I-4m2 (119)" pbc="T T T"
Re 0.000 0.000 0.000
Re 0.796 2.322 1.424
Sb 3.251 2.327 0.000
Zn 2.455 0.005 1.424

=====

No. 9
4
Lattice="3.421 0.000 0.000 0.000 3.421 0.000 0.000 0.000 5.722" Properties=species:S:1:pos:R:3 comment="Zn2ReSb, optimized geometry, DFT GGA-PBE" space_group="P4mm (99)" pbc="T T T"
Re 0.000 0.000 2.823
Sb 1.711 1.711 4.203
Zn 0.000 0.000 0.175
Zn 1.711 1.711 1.380

=====

No. 10
10
Lattice="6.830 0.000 0.000 0.000 6.830 0.000 0.000 0.000 3.422" Properties=species:S:1:pos:R:3 comment="Zn2Re2Sb, optimized geometry, DFT GGA-PBE" space_group="P4/mbm (127)" pbc="T T T"
Re 1.185 4.600 1.711
Re 4.600 5.644 1.711
Re 5.644 2.229 1.711
Re 2.229 1.185 1.711
Zn 2.573 5.988 0.000
Zn 5.988 4.257 0.000
Zn 4.257 0.842 0.000
Zn 0.842 2.573 0.000
Sb 0.000 0.000 0.000
Sb 3.415 3.415 0.000

=====

No. 11
6
Lattice="0.000 3.597 3.597 3.597 0.000 3.597 3.597 3.597 0.000" Properties=species:S:1:pos:R:3 comment="Zn4ReSb, optimized geometry, DFT GGA-PBE" space_group="F-43m (216)" pbc="T T T"
Zn 2.708 4.487 4.487
Zn 4.487 4.487 2.708
Zn 4.487 2.708 4.487
Zn 2.708 2.708 2.708
Re 5.396 5.396 5.396
Sb 0.000 0.000 0.000

=====

No. 12
4
Lattice="2.908 0.036 0.000 -0.035 2.908 0.000 0.000 0.000 8.660" Properties=species:S:1:pos:R:3 comment="Zn2ReSb, optimized geometry, DFT GGA-PBE" space_group="P4/mmm (123)" pbc="T T T"
Re 1.437 1.472 2.165
Sb 1.437 1.472 6.495
Zn 0.000 0.000 0.387
Zn 0.000 0.000 3.943

=====

No. 13
4
Lattice="-1.556 -1.464 3.885 3.935 0.802 1.879 -0.970 3.012 0.747" Properties=species:S:1:pos:R:3 comment="ZnRe2Sb, optimized geometry, DFT GGA-PBE" space_group="P4/mmm (123)" pbc="T T T"
Re 0.000 0.000 0.000
Re 1.189 -0.331 2.882
Sb -1.263 0.774 2.316
Zn 1.483 1.907 1.313

=====

No. 14
4
Lattice="4.680 -0.003 0.100 3.428 3.186 0.100 1.553 0.610 6.234" Properties=species:S:1:pos:R:3 comment="ZnReSb2, optimized geometry, DFT GGA-PBE" space_group="Cm (8)" pbc="T T T"
Re 2.526 0.992 1.981
Sb 8.222 3.228 0.820
Sb 7.022 2.756 4.178
Zn 4.829 1.896 2.871

=====

No. 15
4
Lattice="9.861 -0.060 -0.035 9.357 3.114 -0.035 9.357 1.487 2.736" Properties=species:S:1:pos:R:3 comment="ZnReSb2, optimized geometry, DFT GGA-PBE" space_group="R3m (160)" pbc="T T T"
Re 21.609 3.434 2.016
Sb 0.592 0.094 0.055
Sb 6.652 1.057 0.620
Zn 14.010 2.226 1.307

=====

No. 16
6
Lattice="4.183 -1.236 2.980 2.650 3.799 2.538 -0.303 0.369 5.261" Properties=species:S:1:pos:R:3 comment="ZnRe4Sb, optimized geometry, DFT GGA-PBE" space_group="F-43m (216)" pbc="T T T"
Zn 0.000 0.000 0.000
Re 4.543 0.479 5.532
Re 2.294 1.283 6.676
Re 3.775 3.003 5.311
Re 2.446 1.099 4.039
Sb 4.897 2.199 8.084

=====

No. 17
4
Lattice="-2.141 3.218 2.436 -1.426 -2.503 2.054 4.065 0.782 2.538" Properties=species:S:1:pos:R:3 comment="ZnRe2Sb, optimized geometry, DFT GGA-PBE" space_group="P2/m (10)" pbc="T T T"
Re 3.678 0.560 2.492
Re 1.707 -0.638 2.343
Sb -0.410 1.179 2.366
Zn 0.909 0.319 4.662

=====

No. 18
4
Lattice="-8.191 -1.695 -2.218 -7.190 -4.485 -1.756 -8.157 -2.836 0.556" Properties=species:S:1:pos:R:3 comment="ZnRe2Sb, optimized geometry, DFT GGA-PBE" space_group="R-3m (166)" pbc="T T T"
Re -0.011 -0.004 -0.002
Re -11.758 -4.503 -1.707
Sb -5.885 -2.254 -0.854
Zn -17.654 -6.761 -2.563

=====

No. 19
8
Lattice="-5.827 2.066 -0.405 -1.892 -4.615 3.676 -2.969 2.174 6.423" Properties=species:S:1:pos:R:3 comment="ZnReSb2, optimized geometry, DFT GGA-PBE" space_group="I-42d (122)" pbc="T T T"
Re 0.000 0.000 0.000
Re -6.328 1.483 3.826
Zn -3.859 -1.274 1.635
Zn -4.360 -1.857 5.867
Sb -4.730 1.297 1.804
Sb -2.543 -2.121 3.860
Sb -5.086 0.762 5.974
Sb -9.016 -0.686 7.748

=====

No. 20
4
Lattice="2.918 0.010 0.000 -1.353 2.586 0.000 0.000 0.000 10.117" Properties=species:S:1:pos:R:3 comment="Zn2ReSb, optimized geometry, DFT GGA-PBE" space_group="Cmm2 (35)" pbc="T T T"
Re 0.000 0.000 4.855
Sb 0.783 1.298 7.168
Zn 0.000 0.000 0.461
Zn 0.783 1.298 2.691

=====

Number 1: uncorrected formation energy 3.41 eV per formula unit, total moment 0.000 μB per atom. Number 2: uncorrected formation energy 2.24 eV per formula unit, total moment 0.000 μB per atom. Number 3: uncorrected formation energy 3.06 eV per formula unit, total moment 0.000 μB per atom. Number 4: uncorrected formation energy 2.67 eV per formula unit, total moment 0.000 μB per atom. Number 5: uncorrected formation energy 1.45 eV per formula unit, total moment 0.000 μB per atom. Number 6: uncorrected formation energy 2.11 eV per formula unit, total moment 0.000 μB per atom. Number 7: uncorrected formation energy 7.38 eV per formula unit, total moment 0.617 μB per atom. Number 8: uncorrected formation energy 2.36 eV per formula unit, total moment 0.000 μB per atom. Number 9: uncorrected formation energy 1.08 eV per formula unit, total moment 0.000 μB per atom. Number 10: uncorrected formation energy 4.04 eV per formula unit, total moment 0.000 μB per atom. Number 11: uncorrected formation energy 1.89 eV per formula unit, total moment 0.000 μB per atom. Number 12: uncorrected formation energy 1.96 eV per formula unit, total moment 0.177 μB per atom. Number 13: uncorrected formation energy 2.58 eV per formula unit, total moment 0.000 μB per atom. Number 14: uncorrected formation energy 1.55 eV per formula unit, total moment 0.000 μB per atom. Number 15: uncorrected formation energy 1.91 eV per formula unit, total moment 0.000 μB per atom. Number 16: uncorrected formation energy 4.13 eV per formula unit, total moment 0.000 μB per atom. Number 17: uncorrected formation energy 2.39 eV per formula unit, total moment 0.000 μB per atom. Number 18: uncorrected formation energy 2.67 eV per formula unit, total moment 0.000 μB per atom. Number 19: uncorrected formation energy 2.68 eV per formula unit, total moment 0.000 μB per atom. Number 20: uncorrected formation energy 2.09 eV per formula unit, total moment 0.000 μB per atom.